{
  "formula": "Sr2SmVO6",
  "functional": "PBE+U",
  "state": "relaxed",
  "cell": [[4.144, -4.176, 0.062], [1.827, -2.255, 5.118], [-1.412, -5.524, 1.452]],
  "species": ["O", "O", "O", "O", "O", "O", "Sr", "Sr", "Sm", "V"],
  "fractional_positions": [[0.272, 0.728, 0.728], [0.272, 0.272, 0.728], [0.272, 0.728, 0.272], [0.728, 0.728, 0.272], [0.728, 0.272, 0.272], [0.728, 0.272, 0.728], [0.250, 0.250, 0.250], [0.750, 0.750, 0.750], [0.000, 0.000, 0.000], [0.500, 0.500, 0.500]],
  "n_ef_per_ev_cell": 0.00,
  "m_tot_mub_per_fu": 0.0,
  "dft_energy_ev_per_atom": -7.191
}